# 1
A plane-wave DFT calculation with PBE+U was carried out for a relaxed Cs2NbW3O12 crystal.

Unit cell a=7.462 b=7.462 c=7.462 alpha=59.86 beta=59.86 gamma=59.86
Atoms (fractional coordinates):
Cs  0.124  0.124  0.124
Cs  0.876  0.876  0.876
Nb  0.500  0.500  0.500
W  0.000  0.500  0.500
W  0.500  0.000  0.500
W  0.500  0.500  0.000
O  0.184  0.561  0.561
O  0.190  0.190  0.563
O  0.190  0.563  0.190
O  0.437  0.810  0.810
O  0.439  0.439  0.816
O  0.439  0.816  0.439
O  0.561  0.184  0.561
O  0.561  0.561  0.184
O  0.563  0.190  0.190
O  0.810  0.437  0.810
O  0.810  0.810  0.437
O  0.816  0.439  0.439

crystal system	trigonal
DFT total energy	-7.35	eV/atom
N(E_F)	3.3	states/eV/f.u.

=====

# 2
A plane-wave DFT calculation with PBE+U was carried out for a relaxed CsNbWO6 crystal.

Unit cell a=5.397 b=5.397 c=6.706 alpha=90.00 beta=90.00 gamma=120.00
Atoms (fractional coordinates):
Cs  0.000  0.000  0.000
Nb  0.667  0.333  0.470
W  0.333  0.667  0.528
O  0.004  0.597  0.671
O  0.013  0.410  0.333
O  0.397  0.987  0.333
O  0.403  0.407  0.671
O  0.590  0.603  0.333
O  0.593  0.996  0.671

crystal system	trigonal
DFT total energy	-7.58	eV/atom
N(E_F)	0.0	states/eV/f.u.
offset from the most stable computed form	57	meV per atom

=====

Q: Among the records above, which one has the lowest DFT total energy?
A: CsNbWO6

=====

Q: N(E_F) of number 2 (CsNbWO6)?
A: 0.0 states/eV/f.u.

=====

Q: Which value of N(E_F) does entry 1 give?
A: 3.3 states/eV/f.u.

=====

Q: Which of these has the highest DFT total energy?
A: Cs2NbW3O12